Density functional theory data (PBE with a Hubbard U) for an optimized crystal structure of PaFeHg2O8.

Structure (CIF):
```
data_PaFeHg2O8
_chemical_formula_sum 'Pa2 Fe2 Hg4 O16'
_space_group_name_H-M_alt 'I -4 m 2'
_space_group_IT_number 119
_space_group_name_Hall 'I -4 -2'
_cell_length_a 6.4494
_cell_length_b 6.4494
_cell_length_c 8.0821
_cell_angle_alpha 90.00
_cell_angle_beta 90.00
_cell_angle_gamma 90.00
loop_
_atom_site_label
_atom_site_fract_x
_atom_site_fract_y
_atom_site_fract_z
_atom_site_occupancy
Pa1 0.0000 0.0000 0.0000 1
Fe1 0.0000 0.5000 0.2500 1
Hg1 0.0000 0.0000 0.5000 1
Hg2 0.0000 0.5000 0.7500 1
O1 0.0000 0.2033 0.2744 1
O2 0.0000 0.3146 0.9730 1
```

electronic total energy	-134.280	eV/cell